# 1
## Dy2ZnSi3Ni4 (PBE)

Data for Dy2ZnSi3Ni4 after structural relaxation.

abc: 3.989 3.989 9.563
angles: 90.00 90.00 90.00
Space group P-4m2 (No. 115)
One atom of each set of equivalent atoms:
Dy1 0.000 0.500 0.248 x2
Zn1 0.000 0.000 0.500 x1
Si1 0.000 0.500 0.873 x2
Si2 0.500 0.500 0.500 x1
Ni1 0.000 0.000 0.000 x1
Ni2 0.000 0.500 0.636 x2
Ni3 0.500 0.500 0.000 x1

The calculation puts the formation energy from raw total energies at -0.7395 eV per atom.

# 2
## Ac2PtS (PBE)

Data for Ac2PtS after structural relaxation.

abc: 3.753 3.753 7.608
angles: 90.00 90.00 90.00
Space group P4/mmm (No. 123)
One atom of each set of equivalent atoms:
Ac1 0.000 0.000 0.246 x2
Pt1 0.500 0.500 0.000 x1
S1 0.500 0.500 0.500 x1

The energy above the lowest structure with this stoichiometry is 0.249 eV/atom. The calculation puts the formation energy from raw total energies at -1.2977 eV per atom.

# 3
## MgTeCl3 (PBE)

Data for MgTeCl3 after structural relaxation.

abc: 5.065 5.065 5.065
angles: 90.00 90.00 90.00
Space group Pm-3m (No. 221)
One atom of each set of equivalent atoms:
Mg1 0.000 0.000 0.000 x1
Te1 0.500 0.500 0.500 x1
Cl1 0.000 0.000 0.500 x3

The energy above the lowest structure with this stoichiometry is 0.000 eV/atom. The calculation puts the formation energy from raw total energies at -0.7874 eV per atom.

# 4
## Hf6NO (PBE)

Data for Hf6NO after structural relaxation.

abc: 5.5732 5.5732 10.3579
angles: 90.00 90.00 120.00
Space group P-31c (No. 163)
One atom of each set of equivalent atoms:
Hf1 0.0069 0.3297 0.1234 x12
N1 0.0000 0.0000 0.0000 x2
O1 0.3333 0.6667 0.2500 x2

The calculation puts the formation energy from raw total energies at -1.1690 eV per atom.

# 5
## Mg16Al12O (PBE)

Data for Mg16Al12O after structural relaxation.

abc: 10.602 10.602 10.602
angles: 90.00 90.00 90.00
Space group I-43m (No. 217)
One atom of each set of equivalent atoms:
Mg1 0.061 0.362 0.638 x24
Mg2 0.108 0.108 0.108 x8
Al1 0.099 0.099 0.710 x24
O1 0.000 0.000 0.000 x2

The calculation puts the formation energy from raw total energies at -0.1135 eV per atom.

# 6
## SrLa (PBE)

Data for SrLa after structural relaxation.

abc: 9.686 10.864 13.659
angles: 90.00 90.00 90.00
Space group Fddd (No. 70, origin choice 2)
One atom of each set of equivalent atoms:
Sr1 0.125 0.303 0.125 x16
La1 0.026 0.375 0.875 x16

The energy above the lowest structure with this stoichiometry is 0.306 eV/atom.

# 7
## LaAl2Ni (PBE)

Data for LaAl2Ni after structural relaxation.

abc: 3.069 3.122 7.660
angles: 90.00 90.00 90.00
Space group Pmmm (No. 47)
One atom of each set of equivalent atoms:
La1 0.000 0.000 0.000 x1
Al1 0.500 0.500 0.324 x2
Ni1 0.000 0.000 0.500 x1

# 8
## HfTi3C3 (PBE)

Data for HfTi3C3 after structural relaxation.

abc: 4.425 4.425 4.425
angles: 90.00 90.00 90.00
Space group Pm-3m (No. 221)
One atom of each set of equivalent atoms:
Hf1 0.000 0.000 0.000 x1
Ti1 0.000 0.500 0.500 x3
C1 0.000 0.000 0.500 x3

# 9
## NaAu (PBE)

Data for NaAu after structural relaxation.

abc: 5.870 5.870 5.989
angles: 90.00 90.00 90.00
Space group P4_2/mnm (No. 136)
One atom of each set of equivalent atoms:
Na1 0.192 0.192 0.000 x4
Au1 0.178 0.178 0.500 x4

# 10
## Rb2Mg (PBE)

Data for Rb2Mg after structural relaxation.

abc: 11.661 11.661 11.661
angles: 90.00 90.00 90.00
Space group Fd-3m (No. 227, origin choice 2)
One atom of each set of equivalent atoms:
Rb1 0.000 0.000 0.000 x16
Mg1 0.125 0.125 0.625 x8

The energy above the lowest structure with this stoichiometry is 0.254 eV/atom.

# 11
## LiHoPb (PBE)

Data for LiHoPb after structural relaxation.

abc: 4.443 4.443 7.438
angles: 90.00 90.00 90.00
Space group P4/nmm (No. 129, origin choice 2)
One atom of each set of equivalent atoms:
Li1 0.250 0.750 0.000 x2
Ho1 0.250 0.250 0.331 x2
Pb1 0.250 0.250 0.756 x2

| no. | spin magnetization (μB per cell) | E (eV per cell) |
| --- | --- | --- |
| 1 | 0.00 | -57.27 |
| 2 | 0.00 | -23.58 |
| 3 | 3.00 | -14.21 |
| 4 | 0.00 | -164.71 |
| 5 | 0.00 | -157.35 |
| 6 | 4.25 | -93.98 |
| 7 | 0.00 | -19.75 |
| 8 | 0.00 | -65.98 |
| 9 | 0.00 | -19.68 |
| 10 | 0.00 | -18.32 |
| 11 | 0.00 | -23.09 |